Compound: TcPb2Cl
Source: Alexandria
Functional: GGA-PBE
Structure: optimized geometry

Summary:
The density of states at the Fermi level comes out at 2.46 states/eV/f.u. The offset from the most stable computed form is 0.1985 eV per atom. The space-group type is P4mm, No. 99. The calculated density comes out at 9.43 Mg/m³. The formation energy (no corrections) is 0.384 eV/atom.

abc: 3.2083 3.2083 9.3747
angles: 90.00 90.00 90.00
Last column: magnetic moment on the atom in μB.
Fractional positions:
Tc 0.0000 0.0000 0.5186  1.79
Pb 0.5000 0.5000 0.3082  -0.03
Pb 0.0000 0.0000 0.9886  -0.01
Cl 0.5000 0.5000 0.6846  0.11